Entry from OQMD: a relaxed Cs2KSb2Au3 crystal (PBE).

Unit cell a=6.8461 b=6.8461 c=22.2838 alpha=90.00 beta=90.00 gamma=120.00
Space group R-3m (No. 166, hexagonal axes)
Unique sites:
Cs 0.0000 0.0000 0.0833 (multiplicity 6)
K 0.0000 0.0000 0.5000 (multiplicity 3)
Sb 0.0000 0.0000 0.2517 (multiplicity 6)
Au 0.0000 0.5000 0.0000 (multiplicity 9)

Output
Mass density   6275 kg/m³
E_tot   -73.4 eV/cell